1.
The following is a DFT calculation (PBE) of an optimized crystal structure of MnCo6W.

Cell: 6.1744 6.1744 10.0682 Å, 90.00 90.00 109.48°
With the nearest neighbours (Å) after each atom.
Positions (direct):
1 Co 0.1233 0.3718 0.6238  8 Co 2.51-2.55, 1 Mn 2.51, 3 W 2.53
2 Co 0.1233 0.3718 0.8762  8 Co 2.51-2.55, 1 Mn 2.51, 3 W 2.53
3 Co 0.3731 0.1210 0.1266  8 Co 2.48-2.54, 3 Mn 2.50-2.51, 1 W 2.54
4 Co 0.2483 0.7517 0.0030  8 Co 2.48-2.55, 2 Mn 2.49-2.50, 2 W 2.54-2.55
5 Co 0.1210 0.3731 0.3734  8 Co 2.48-2.54, 3 Mn 2.50-2.51, 1 W 2.54
6 Co 0.6269 0.8790 0.1266  8 Co 2.48-2.54, 3 Mn 2.50-2.51, 1 W 2.54
7 Co 0.1210 0.3731 0.1266  8 Co 2.48-2.54, 3 Mn 2.50-2.51, 1 W 2.54
8 Co 0.3718 0.1233 0.6238  8 Co 2.51-2.55, 1 Mn 2.51, 3 W 2.53
9 Co 0.5000 0.5000 0.2500  2 Mn 2.48, 2 W 2.50, 8 Co 2.53
10 Co 0.7517 0.2483 0.0030  8 Co 2.48-2.55, 2 Mn 2.49-2.50, 2 W 2.54-2.55
11 Co 0.2483 0.7517 0.4970  8 Co 2.48-2.55, 2 Mn 2.49-2.50, 2 W 2.54-2.55
12 Co 0.6269 0.8790 0.3734  8 Co 2.48-2.54, 3 Mn 2.50-2.51, 1 W 2.54
13 W 0.2529 0.7471 0.7500  12 Co 2.49-2.55
14 Co 0.5000 0.5000 0.7500  4 W 2.49-2.53, 8 Co 2.53
15 Co 0.8790 0.6269 0.3734  8 Co 2.48-2.54, 3 Mn 2.50-2.51, 1 W 2.54
16 Co 0.6282 0.8767 0.6238  8 Co 2.51-2.55, 1 Mn 2.51, 3 W 2.53
17 Co 0.8767 0.6282 0.6238  8 Co 2.51-2.55, 1 Mn 2.51, 3 W 2.53
18 Mn 0.7459 0.2541 0.2500  12 Co 2.48-2.56
19 Co 0.8790 0.6269 0.1266  8 Co 2.48-2.54, 3 Mn 2.50-2.51, 1 W 2.54
20 W 0.5000 0.5000 0.0015  12 Co 2.50-2.54
21 Mn 0.0000 0.0000 0.4973  12 Co 2.49-2.54
22 W 0.5000 0.5000 0.4985  12 Co 2.50-2.54
23 Co 0.7517 0.2483 0.4970  8 Co 2.48-2.55, 2 Mn 2.49-2.50, 2 W 2.54-2.55
24 Co 0.3731 0.1210 0.3734  8 Co 2.48-2.54, 3 Mn 2.50-2.51, 1 W 2.54
25 Mn 0.2541 0.7459 0.2500  12 Co 2.48-2.56
26 Mn 0.0000 0.0000 0.0027  12 Co 2.49-2.54
27 Co 0.0000 0.0000 0.7500  8 Co 2.51, 2 Mn 2.54, 2 W 2.55
28 Co 0.8767 0.6282 0.8762  8 Co 2.51-2.55, 1 Mn 2.51, 3 W 2.53
29 Co 0.6282 0.8767 0.8762  8 Co 2.51-2.55, 1 Mn 2.51, 3 W 2.53
30 Co 0.3718 0.1233 0.8762  8 Co 2.51-2.55, 1 Mn 2.51, 3 W 2.53
31 Co 0.0000 0.0000 0.2500  4 Mn 2.49-2.56, 8 Co 2.50
32 W 0.7471 0.2529 0.7500  12 Co 2.49-2.55

2.
The following is a DFT calculation (PBE) of an optimized crystal structure of Mn2CoW.

Cell: 2.7145 3.4261 5.3901 Å, 90.00 90.00 90.00°
With the nearest neighbours (Å) after each atom.
Positions (direct):
1 Mn 0.5000 0.5000 0.2253  6 Mn 2.49-2.71, 1 Co 2.51, 4 W 2.67
2 Co 0.5000 0.5000 0.7596  5 Mn 2.51-2.56, 4 W 2.57, 2 Co 2.71
3 Mn 0.0000 0.0000 0.0055  6 Mn 2.49-2.71, 4 Co 2.56, 2 W 2.67-2.72
4 W 0.0000 0.0000 0.5095  4 Co 2.57, 6 Mn 2.67-2.72, 2 W 2.71

3.
The following is a DFT calculation (PBE) of an optimized crystal structure of MnCoW.

Cell: 4.0924 4.0924 2.6068 Å, 90.00 90.00 120.00°
With the nearest neighbours (Å) after each atom.
Positions (direct):
1 W 0.3333 0.6667 0.5000  2 W 2.61, 6 Mn 2.70, 6 Co 2.70
2 Co 0.0000 0.0000 0.0000  3 Mn 2.36, 2 Co 2.61
3 Mn 0.6667 0.3333 0.0000  3 Co 2.36, 2 Mn 2.61

no.,formation energy (eV per atom)
1,0.016
2,0.099
3,0.209